Record 1
Material: LaHo6Tm4
Method: DFT, PBE-GGA
State: optimized geometry

Unit cell a=7.6291 b=7.6291 c=8.4287 alpha=116.91 beta=116.91 gamma=90.00
Sites, in units of the cell vectors:
La  0.5000  0.5000  0.0000
Ho  0.5616  0.5616  0.6243
Ho  0.5000  0.0000  0.0000
Ho  0.0000  0.5000  0.0000
Ho  0.0626  0.0626  0.6243
Ho  0.4384  0.9374  0.3757
Ho  0.9374  0.4384  0.3757
Tm  0.9166  0.9166  0.1539
Tm  0.2372  0.2372  0.1539
Tm  0.7628  0.0834  0.8461
Tm  0.0834  0.7628  0.8461

## Properties
Energy of formation   0.4373 eV per atom
N(E_F)   1.5165 states/eV per atom

***

Record 2
Material: Zn2TcF
Method: DFT, PBE-GGA
State: optimized geometry

Unit cell a=4.3736 b=4.3736 c=4.3736 alpha=60.00 beta=60.00 gamma=60.00
Each line ends with the local moment (μB).
Sites, in units of the cell vectors:
Tc  0.5000  0.5000  0.5000  1.81
Zn  0.2500  0.2500  0.2500  -0.01
Zn  0.7500  0.7500  0.7500  -0.01
F  0.0000  0.0000  0.0000  0.09

## Properties
Formation energy without anion corrections   0.148 eV per atom
N(E_F)   0.3841 states/eV per atom
Energy relative to the lowest polymorph listed for this composition   20.7 kJ per mole of atoms

***

Record 3
Material: SiHgMo
Method: DFT, PBE-GGA
State: optimized geometry

Unit cell a=3.1280 b=3.1302 c=24.1084 alpha=90.00 beta=90.04 gamma=90.00
Sites, in units of the cell vectors:
Hg  0.7523  0.0000  0.0532
Hg  0.2477  0.5000  0.4468
Hg  0.2477  0.0000  0.9468
Hg  0.7523  0.5000  0.5532
Si  0.7495  0.0000  0.1615
Si  0.2505  0.5000  0.3385
Si  0.2505  0.0000  0.8385
Si  0.7495  0.5000  0.6615
Mo  0.2499  0.0000  0.7179
Mo  0.7501  0.0000  0.2821
Mo  0.2499  0.5000  0.2179
Mo  0.7501  0.5000  0.7821

## Properties
Formation energy without anion corrections   0.022 eV per atom
N(E_F)   0.6292 states/eV per atom
Energy relative to the lowest polymorph listed for this composition   0.0 kJ per mole of atoms

***

Record 4
Material: Al6SiMo2
Method: DFT, PBE-GGA
State: optimized geometry

Unit cell a=3.5793 b=6.5883 c=6.7046 alpha=114.59 beta=105.48 gamma=90.00
Sites, in units of the cell vectors:
Mo  0.9527  0.2072  0.9054
Mo  0.0473  0.7928  0.0946
Al  0.8268  0.4932  0.6537
Al  0.3942  0.8440  0.7883
Al  0.6058  0.1560  0.2117
Al  0.2765  0.1587  0.5531
Al  0.1732  0.5068  0.3463
Al  0.7235  0.8413  0.4469
Si  0.5000  0.5000  0.0000

## Properties
Formation energy without anion corrections   -0.188 eV per atom
N(E_F)   0.2465 states/eV per atom

***

Record 5
Material: MgBi4Pb15
Method: DFT, PBE-GGA
State: optimized geometry

Unit cell a=5.9857 b=5.9857 c=17.5346 alpha=90.00 beta=90.00 gamma=90.00
Sites, in units of the cell vectors:
Pb  0.0000  0.5000  0.7015
Pb  0.5000  0.0000  0.2985
Pb  0.0000  0.5000  0.9019
Pb  0.5000  0.0000  0.9019
Pb  0.5000  0.5000  0.5987
Pb  0.5000  0.5000  0.4013
Pb  0.5000  0.0000  0.5000
Pb  0.0000  0.5000  0.2985
Pb  0.5000  0.5000  0.0000
Pb  0.0000  0.5000  0.5000
Pb  0.0000  0.5000  0.0981
Pb  0.5000  0.5000  0.1991
Pb  0.5000  0.5000  0.8009
Pb  0.5000  0.0000  0.7015
Pb  0.5000  0.0000  0.0981
Mg  0.0000  0.0000  0.0000
Bi  0.0000  0.0000  0.6020
Bi  0.0000  0.0000  0.1850
Bi  0.0000  0.0000  0.8150
Bi  0.0000  0.0000  0.3980

## Properties
Energy of formation   0.0269 eV per atom
N(E_F)   0.4530 states/eV per atom

***

Record 6
Material: K4MgAl
Method: DFT, PBE-GGA
State: optimized geometry

Unit cell a=7.3347 b=7.3347 c=7.3347 alpha=60.00 beta=60.00 gamma=60.00
Sites, in units of the cell vectors:
K  0.3745  0.3745  0.3745
K  0.8764  0.3745  0.3745
K  0.3745  0.3745  0.8764
K  0.3745  0.8764  0.3745
Mg  0.7500  0.7500  0.7500
Al  0.0000  0.0000  0.0000

## Properties
Energy of formation   0.5103 eV per atom
N(E_F)   0.9161 states/eV per atom

***

Record 7
Material: AuSBr3
Method: DFT, PBE-GGA
State: optimized geometry

Unit cell a=19.5841 b=13.4976 c=9.7869 alpha=86.58 beta=53.55 gamma=39.12
Sites, in units of the cell vectors:
Br  0.4842  0.6821  0.6650
Br  0.9136  0.0527  0.3041
Br  0.6390  0.5054  0.0343
Br  0.3610  0.4946  0.9657
Br  0.4567  0.9897  0.8019
Br  0.0908  0.2418  0.8093
Br  0.5433  0.0103  0.1981
Br  0.5158  0.3179  0.3350
Br  0.0420  0.1836  0.3697
Br  0.9092  0.7582  0.1907
Br  0.9580  0.8164  0.6303
Br  0.0864  0.9473  0.6959
Au  0.2766  0.1170  0.7983
Au  0.2283  0.3744  0.6981
Au  0.7717  0.6256  0.3019
Au  0.7234  0.8830  0.2017
S  0.7737  0.5066  0.8053
S  0.6013  0.3993  0.5329
S  0.2263  0.4934  0.1947
S  0.3987  0.6007  0.4671

## Properties
Formation energy without anion corrections   0.016 eV per atom
Energy relative to the lowest polymorph listed for this composition   3.0 kJ per mole of atoms

***

Record 8
Material: GaCu2PdS
Method: DFT, PBE-GGA
State: optimized geometry

Unit cell a=4.8140 b=4.4630 c=4.8140 alpha=90.00 beta=90.00 gamma=90.00
Sites, in units of the cell vectors:
Ga  0.5000  0.5000  0.5000
Cu  0.5000  0.0000  0.0000
Cu  0.0000  0.0000  0.5000
S  0.0000  0.5000  0.0000
Pd  0.0000  0.0000  0.0000

## Properties
Formation energy without anion corrections   0.451 eV per atom
N(E_F)   0.3435 states/eV per atom

***

Record 9
Material: MoW4
Method: DFT, PBE-GGA
State: optimized geometry

Unit cell a=4.6423 b=4.6423 c=4.6423 alpha=90.00 beta=90.00 gamma=90.00
Sites, in units of the cell vectors:
Mo  0.5000  0.5000  0.5000
W  0.0000  0.5000  0.5000
W  0.5000  0.0000  0.5000
W  0.0000  0.0000  0.0000
W  0.5000  0.5000  0.0000

## Properties
Energy of formation   2.3474 eV per atom
N(E_F)   1.0466 states/eV per atom
Energy relative to the lowest polymorph listed for this composition   227.2 kJ per mole of atoms

***

Record 10
Material: Sc4GeSbC
Method: DFT, PBE-GGA
State: optimized geometry

Unit cell a=6.2339 b=6.2382 c=7.9018 alpha=90.00 beta=113.23 gamma=90.00
Sites, in units of the cell vectors:
Sc  0.5965  0.2500  0.1931
Sc  0.5000  0.0000  0.5000
Sc  0.0000  0.0000  0.5000
Sc  0.9123  0.2500  0.8245
Sc  0.0000  0.5000  0.5000
Sc  0.4035  0.7500  0.8069
Sc  0.0877  0.7500  0.1755
Sc  0.5000  0.5000  0.5000
Ge  0.8887  0.7500  0.7775
Ge  0.1113  0.2500  0.2225
C  0.7534  0.2500  0.5069
C  0.2466  0.7500  0.4931
Sb  0.3962  0.2500  0.7923
Sb  0.6038  0.7500  0.2077

## Properties
Formation energy without anion corrections   -0.807 eV per atom
N(E_F)   0.6407 states/eV per atom

***

Record 11
Material: Mg3BOs
Method: DFT, PBE-GGA
State: optimized geometry

Unit cell a=4.9565 b=4.9565 c=4.9565 alpha=90.00 beta=90.00 gamma=90.00
Sites, in units of the cell vectors:
Mg  0.5000  0.0000  0.0000
Mg  0.0000  0.5000  0.0000
Mg  0.0000  0.0000  0.5000
B  0.5000  0.5000  0.5000
Os  0.0000  0.0000  0.0000

## Properties
Energy of formation   1.4292 eV per atom
N(E_F)   0.3991 states/eV per atom
Energy relative to the lowest polymorph listed for this composition   55.3 kJ per mole of atoms

***

Record 12
Material: GaH2O
Method: DFT, PBE-GGA
State: optimized geometry

Unit cell a=4.5121 b=4.5121 c=4.5129 alpha=60.01 beta=60.01 gamma=90.00
Each line ends with the local moment (μB).
Sites, in units of the cell vectors:
H  0.3750  0.6249  0.7500  0.00
H  0.3749  0.6250  0.2500  0.00
H  0.3751  0.1250  0.2500  0.00
H  0.8750  0.6251  0.7500  0.00
O  0.5000  0.5000  0.0000  0.02
O  0.2500  0.7500  0.5000  0.02
Ga  0.0000  0.0000  0.0000  0.14
Ga  0.7500  0.2500  0.5000  0.14

## Properties
N(E_F)   0.4812 states/eV per atom
Energy relative to the lowest polymorph listed for this composition   54.1 kJ per mole of atoms

***

In order of appearance, calculated volume = 377, 59, 236, 137, 628, 279, 804, 103, 100, 282, 122, 65 Å³ per cell.
In order of appearance, uncorrected energy = -4.13, -3.55, -5.50, -5.69, -3.61, -1.11, -2.47, -3.66, -10.18, -6.99, -3.11, -3.72 eV per atom.